Run w
DFT (meta-GGA SCAN) results for a crystal of BaMo relaxed with PBEsol.

Results
* space-group type: No. 51
* DOS at the Fermi energy: 4.66 states/eV per cell

Unit cell a=3.241 b=4.383 c=8.952 alpha=90.00 beta=90.00 gamma=90.00
Fractional coordinates of all 4 atoms:
Ba  0.000  0.750  0.708
Ba  0.000  0.250  0.292
Mo  0.500  0.750  0.043
Mo  0.500  0.250  0.957

***

Run x
DFT (meta-GGA SCAN) results for a crystal of BaMo relaxed with PBEsol.

Results
* space-group type: No. 8
* DOS at the Fermi energy: 6.19 states/eV per cell

Unit cell a=3.700 b=7.564 c=7.973 alpha=115.16 beta=90.00 gamma=104.16
Fractional coordinates of all 6 atoms:
Ba  0.911  0.822  0.922
Ba  0.658  0.315  0.328
Ba  0.630  0.260  0.783
Mo  0.374  0.747  0.530
Mo  0.938  0.877  0.396
Mo  0.322  0.645  0.207

***

Sorted by energy, starting with the most stable: run x, run w.